Density functional theory data (GGA-PBE) for a relaxed Ta2OsBr crystal.

Cell and atoms, written as CIF:
```
data_Ta2OsBr
_chemical_formula_sum 'Ta4 Os2 Br2'
_cell_length_a 3.275
_cell_length_b 4.962
_cell_length_c 9.420
_cell_angle_alpha 90.00
_cell_angle_beta 90.00
_cell_angle_gamma 90.00
_space_group_name_H-M_alt 'C m m 2'
_space_group_IT_number 35
loop_
_space_group_symop_operation_xyz
'x,y,z'
'-x,-y,z'
'-x,y,z'
'x,-y,z'
'x+1/2,y+1/2,z'
'-x+1/2,-y+1/2,z'
'-x+1/2,y+1/2,z'
'x+1/2,-y+1/2,z'
loop_
_atom_site_label
_atom_site_type_symbol
_atom_site_fract_x
_atom_site_fract_y
_atom_site_fract_z
Ta1 Ta 0.000 0.000 0.000
Ta2 Ta 0.000 0.500 0.250
Os1 Os 0.000 0.000 0.457
Br1 Br 0.000 0.500 0.777
```

**D(E_F)**: 5.95 states/eV/cell
**Crystal system**: orthorhombic
**Total energy**: -8.770 eV/atom
**Mass density**: 13.714 Mg/m³